Record 1
Crystalline LaSb2Ru at its relaxed geometry, computed with PBE.

Results
As for the density of states at the Fermi level: 4.89 states/eV/f.u. The calculated density comes out at 8.26 Mg/m³. The formation energy (no corrections) is -0.16 eV/atom. The calculation puts the total energy at -5.7686 eV/atom.

a = 9.392 Å, b = 9.392 Å, c = 9.392 Å
α = 21.46°, β = 21.46°, γ = 21.46°
Atoms (fractional coordinates):
La: 0.250 0.250 0.250
Ru: 0.750 0.750 0.750
Sb: 0.018 0.018 0.018
Sb: 0.482 0.482 0.482

Record 2
Crystalline La3SbRu at its relaxed geometry, computed with PBE.

Results
As for the density of states at the Fermi level: 4.69 states/eV/f.u. The calculated density comes out at 6.89 Mg/m³. For the polymorph energy (0 for the lowest one), the calculation gives 0.140 eV per atom. The formation energy (no corrections) is -0.58 eV/atom. The calculation puts the total energy at -6.2134 eV/atom.

a = 5.766 Å, b = 7.369 Å, c = 8.712 Å
α = 116.56°, β = 86.60°, γ = 110.47°
Atoms (fractional coordinates):
La: 0.424 0.764 0.134
La: 0.138 0.341 0.665
La: 0.887 0.796 0.772
La: 0.113 0.204 0.228
La: 0.576 0.236 0.866
La: 0.862 0.659 0.335
Sb: 0.627 0.261 0.461
Sb: 0.373 0.739 0.539
Ru: 0.917 0.692 0.032
Ru: 0.083 0.308 0.968

Record 3
Crystalline La6SbRu2 at its relaxed geometry, computed with PBE.

Results
As for the density of states at the Fermi level: 8.04 states/eV/f.u. The calculated density comes out at 6.38 Mg/m³. The formation energy (no corrections) is -0.34 eV/atom. The calculation puts the total energy at -6.1440 eV/atom.

a = 7.563 Å, b = 9.359 Å, c = 9.359 Å
α = 65.99°, β = 85.79°, γ = 85.79°
Atoms (fractional coordinates):
La: 0.603 0.642 0.593
La: 0.897 0.407 0.358
La: 0.397 0.358 0.407
La: 0.103 0.593 0.642
La: 0.812 0.005 0.396
La: 0.688 0.604 0.995
La: 0.188 0.995 0.604
La: 0.312 0.396 0.005
La: 0.134 0.786 0.996
La: 0.366 0.004 0.214
La: 0.866 0.214 0.004
La: 0.634 0.996 0.786
Sb: 0.250 0.180 0.820
Sb: 0.750 0.820 0.180
Ru: 0.380 0.708 0.795
Ru: 0.120 0.205 0.292
Ru: 0.620 0.292 0.205
Ru: 0.880 0.795 0.708

Record 4
Crystalline LaSb2Ru at its relaxed geometry, computed with PBE.

Results
As for the density of states at the Fermi level: 1.90 states/eV/f.u. The calculated density comes out at 7.83 Mg/m³. The formation energy (no corrections) is -0.57 eV/atom. The calculation puts the total energy at -6.1821 eV/atom.

a = 4.394 Å, b = 5.030 Å, c = 5.031 Å
α = 67.22°, β = 90.00°, γ = 90.00°
Atoms (fractional coordinates):
La: 0.500 0.250 0.250
Ru: 0.500 0.750 0.750
Sb: 0.000 0.935 0.935
Sb: 0.000 0.565 0.565

Record 5
Crystalline LaSbRu2 at its relaxed geometry, computed with PBE.

Results
As for the density of states at the Fermi level: 1.98 states/eV/f.u. The calculated density comes out at 9.17 Mg/m³. The formation energy (no corrections) is -0.07 eV/atom. The calculation puts the total energy at -6.9721 eV/atom.

a = 5.442 Å, b = 5.442 Å, c = 5.241 Å
α = 70.98°, β = 70.98°, γ = 35.07°
Atoms (fractional coordinates):
La: 0.259 0.259 0.240
Ru: 0.026 0.026 0.904
Ru: 0.745 0.745 0.793
Sb: 0.470 0.470 0.564

Record 6
Crystalline La2SbRu at its relaxed geometry, computed with PBE.

Results
As for the density of states at the Fermi level: 4.67 states/eV/f.u. The calculated density comes out at 7.00 Mg/m³. The formation energy (no corrections) is -0.41 eV/atom. The calculation puts the total energy at -6.2238 eV/atom.

a = 8.078 Å, b = 8.078 Å, c = 8.078 Å
α = 30.28°, β = 30.28°, γ = 30.28°
Atoms (fractional coordinates):
La: 0.985 0.985 0.985
La: 0.515 0.515 0.515
Ru: 0.250 0.250 0.250
Sb: 0.750 0.750 0.750

Record 7
Crystalline LaSb2Ru at its relaxed geometry, computed with PBE.

Results
As for the density of states at the Fermi level: 3.69 states/eV/f.u. The calculated density comes out at 8.31 Mg/m³. The formation energy (no corrections) is -0.22 eV/atom. The calculation puts the total energy at -5.8290 eV/atom.

a = 3.680 Å, b = 3.626 Å, c = 7.239 Å
α = 90.00°, β = 90.00°, γ = 90.00°
Atoms (fractional coordinates):
La: 0.000 0.000 0.506
Ru: 0.500 0.500 0.822
Sb: 0.000 0.000 0.955
Sb: 0.500 0.500 0.217

Record 8
Crystalline LaSbRu2 at its relaxed geometry, computed with PBE.

Results
As for the density of states at the Fermi level: 4.61 states/eV/f.u. The calculated density comes out at 9.37 Mg/m³. The formation energy (no corrections) is 0.02 eV/atom. The calculation puts the total energy at -6.8812 eV/atom.

a = 3.289 Å, b = 3.289 Å, c = 7.579 Å
α = 90.00°, β = 90.00°, γ = 90.00°
Last column: magnetic moment on the atom in μB.
Atoms (fractional coordinates):
La: 0.500 0.500 0.786  -0.03
Ru: 0.000 0.000 0.036  0.22
Ru: 0.500 0.500 0.245  0.43
Sb: 0.000 0.000 0.434  -0.01

formation energy (no corrections) of number 3 (La6SbRu2)?
-0.34 eV/atom

Among the records above, which one has the highest calculated density?
number 8